This record from Alexandria via LeMat-Bulk describes a geometry-optimized Ac5CuSe4 structure. The functional is GGA-PBE.

Cell and atoms, written as extended XYZ:
```
10
Lattice="-2.2066 3.1705 11.3728 2.2066 -3.1705 11.3728 2.2066 3.1705 -11.3728" Properties=species:S:1:pos:R:3 pbc="T T T"
Ac 0.0000 0.0000 0.0000
Ac 0.0000 0.0000 4.5364
Ac 0.0000 0.0000 9.1989
Ac 0.0000 0.0000 13.5468
Ac 0.0000 0.0000 18.2092
Cu 0.0000 3.1705 0.0000
Se 2.2066 0.0000 2.3307
Se 2.2066 0.0000 6.8122
Se 0.0000 3.1705 4.5607
Se 0.0000 3.1705 9.0421
```

Properties
**Electronic total energy**: -53.59 eV for the cell shown
**Uncorrected formation energy**: -1501 meV per atom
**N(E_F)**: 7.6 states/eV/f.u.

This record from Alexandria via LeMat-Bulk describes a geometry-optimized Tl2Sb2Se structure. The functional is GGA-PBE.

Cell and atoms, written as extended XYZ:
```
10
Lattice="7.6975 0.0000 0.0000 0.0000 7.6975 0.0000 0.0000 0.0000 5.2114" Properties=species:S:1:pos:R:3 pbc="T T T"
Tl 1.3664 2.4823 0.0000
Tl 2.4823 6.3311 0.0000
Tl 5.2151 1.3664 0.0000
Tl 6.3311 5.2151 0.0000
Sb 1.0733 4.9220 2.6057
Sb 2.7754 1.0733 2.6057
Sb 4.9220 6.6242 2.6057
Sb 6.6242 2.7754 2.6057
Se 0.0000 0.0000 2.6057
Se 3.8487 3.8487 2.6057
```

Properties
**Electronic total energy**: -32.73 eV for the cell shown
**Uncorrected formation energy**: 20 meV per atom
**Relative energy among the computed polymorphs**: 4 meV per atom
**N(E_F)**: 1.7 states/eV/f.u.

This record from Alexandria via LeMat-Bulk describes a geometry-optimized DyZnCo2 structure. The functional is GGA-PBE.

Cell and atoms, written as extended XYZ:
```
16
Lattice="5.2612 0.0000 0.0000 0.0000 4.7076 0.0000 0.0000 0.0000 11.6653" Properties=species:S:1:pos:R:3 pbc="T T T"
Dy 1.3153 0.0000 1.0758
Dy 1.3153 2.3538 4.5483
Dy 3.9459 0.0000 10.5896
Dy 3.9459 2.3538 7.1170
Zn 1.3153 0.0000 9.4348
Zn 1.3153 2.3538 9.5751
Zn 3.9459 0.0000 2.2305
Zn 3.9459 2.3538 2.0902
Co 0.0000 0.0000 5.8327
Co 0.0000 2.3538 0.0000
Co 1.3153 1.2234 7.3322
Co 1.3153 3.4842 7.3322
Co 2.6306 0.0000 5.8327
Co 2.6306 2.3538 0.0000
Co 3.9459 1.2234 4.3331
Co 3.9459 3.4842 4.3331
```

Properties
**Electronic total energy**: -79.38 eV for the cell shown
**N(E_F)**: 4.1 states/eV/f.u.
**Formation energy from the elements**: 0.06 eV per atom

This record from Alexandria via LeMat-Bulk describes a geometry-optimized Pr4SiTe2Se structure. The functional is GGA-PBE.

Cell and atoms, written as extended XYZ:
```
8
Lattice="7.5736 0.0000 0.0000 0.0000 4.3763 0.0000 -2.5335 0.0000 7.3821" Properties=species:S:1:pos:R:3 pbc="T T T"
Pr 1.2094 0.0000 1.6392
Pr -0.0761 2.1882 5.7406
Pr 5.1162 2.1882 1.6415
Pr 3.8307 0.0000 5.7429
Si 0.0000 2.1882 0.0000
Te -1.2668 0.0000 3.6911
Te 2.5200 2.1882 3.6911
Se 3.7868 0.0000 0.0000
```

Properties
**Electronic total energy**: -45.76 eV for the cell shown
**Uncorrected formation energy**: -1431 meV per atom
**N(E_F)**: 3.5 states/eV/f.u.

This record from Alexandria via LeMat-Bulk describes a geometry-optimized Np2Sn2BRu4 structure. The functional is GGA-PBE.

Cell and atoms, written as extended XYZ:
```
9
Lattice="-3.0795 3.0795 4.1389 3.0795 -3.0795 4.1389 3.0795 3.0795 -4.1389" Properties=species:S:1:pos:R:3 pbc="T T T"
Np 0.0000 0.0000 1.6771
Np 0.0000 0.0000 6.6006
Sn 3.0795 0.0000 2.0694
Sn 0.0000 3.0795 2.0694
B 0.0000 0.0000 4.1389
Ru 1.5780 1.5780 0.0000
Ru 1.5014 -1.5014 4.1389
Ru -1.5014 1.5014 4.1389
Ru 1.5014 1.5014 4.1389
```

Properties
**Electronic total energy**: -77.35 eV for the cell shown
**N(E_F)**: 19.4 states/eV/f.u.
**Formation energy from the elements**: 0.04 eV per atom

This record from Alexandria via LeMat-Bulk describes a geometry-optimized Mg6MoC structure. The functional is GGA-PBE.

Cell and atoms, written as extended XYZ:
```
8
Lattice="4.4877 0.0000 0.0000 0.0000 2.8180 5.7600 0.0000 -2.8180 5.7600" Properties=species:S:1:pos:R:3 pbc="T T T"
Mg 0.0000 0.0000 0.0000
Mg 0.0000 -1.3978 3.0316
Mg 0.0000 0.0000 5.5509
Mg 0.0000 1.3978 3.0316
Mg 2.2438 -1.4378 7.0764
Mg 2.2438 1.4378 7.0764
Mo 2.2438 0.0000 9.8922
C 2.2438 0.0000 3.1846
```

Properties
**Electronic total energy**: -23.95 eV for the cell shown
**Relative energy among the computed polymorphs**: 423 meV per atom
**N(E_F)**: 4.8 states/eV/f.u.
**Formation energy from the elements**: 0.71 eV per atom

This record from Alexandria via LeMat-Bulk describes a geometry-optimized LiSc2Sn structure. The functional is GGA-PBE.

Cell and atoms, written as extended XYZ:
```
4
Lattice="3.5693 0.0000 0.0000 0.0000 3.5693 0.0000 0.0000 0.0000 6.7470" Properties=species:S:1:pos:R:3 pbc="T T T"
Li 0.0000 0.0000 0.0000
Sc 1.7846 1.7846 1.5957
Sc 1.7846 1.7846 5.1513
Sn 0.0000 0.0000 3.3735
```

Properties
**Electronic total energy**: -19.63 eV for the cell shown
**N(E_F)**: 4.1 states/eV/f.u.
**Formation energy from the elements**: -0.26 eV per atom

This record from Alexandria via LeMat-Bulk describes a geometry-optimized La2Si3Ir2 structure. The functional is GGA-PBE.

Cell and atoms, written as extended XYZ:
```
14
Lattice="2.1730 -8.9828 0.0000 2.1730 8.9828 0.0000 0.0000 0.0000 7.0050" Properties=species:S:1:pos:R:3 pbc="T T T"
La 2.1730 7.9612 5.2537
La 2.1730 6.1910 1.7512
La 2.1730 -6.1910 5.2537
La 2.1730 -7.9612 1.7512
Si 2.1730 4.9150 5.2537
Si 2.1730 1.1066 3.9932
Si 2.1730 1.1066 6.5143
Si 2.1730 -1.1066 0.4907
Si 2.1730 -1.1066 3.0118
Si 2.1730 -4.9150 1.7512
Ir 2.1730 3.4435 0.3497
Ir 2.1730 3.4435 3.1528
Ir 2.1730 -3.4435 3.8522
Ir 2.1730 -3.4435 6.6552
```

Properties
**Electronic total energy**: -98.61 eV for the cell shown
**Uncorrected formation energy**: -780 meV per atom
**Relative energy among the computed polymorphs**: 10 meV per atom
**N(E_F)**: 3.7 states/eV/f.u.